VASP calculation (GGA-PBE) on an optimized crystal structure of Ac5RhPb4.

Unit cell a=6.7371 b=8.1994 c=8.1994 alpha=80.28 beta=65.74 gamma=65.74
Closest atoms and distances in Å follow each position.
Atoms (fractional coordinates):
1 Rh 0.0013 0.0000 0.0000  4 Ac 2.94
2 Ac 0.2604 0.8405 0.6406  1 Rh 2.94
3 Ac 0.7416 0.1595 0.3594  1 Rh 2.94
4 Pb 0.1802 0.2451 0.3966  6 Ac 3.43-3.53
5 Ac 0.5009 0.0000 0.0000  2 Rh 3.37, 4 Pb 3.49
6 Pb 0.8219 0.7549 0.6034  6 Ac 3.43-3.53
7 Ac 0.1010 0.6406 0.1595  1 Rh 2.94
8 Pb 0.4252 0.3966 0.7549  6 Ac 3.43-3.53
9 Pb 0.5768 0.6034 0.2451  6 Ac 3.43-3.53
10 Ac 0.9010 0.3594 0.8405  1 Rh 2.94

Calculated values
- calculated formation energy (eV/atom) = -0.419
- mass density (g cm⁻³) = 9.12



VASP calculation (GGA-PBE) on an optimized crystal structure of SmDyHfN3.

Unit cell a=3.3893 b=5.7656 c=8.9334 alpha=101.41 beta=90.00 gamma=90.00
Closest atoms and distances in Å follow each position.
Atoms (fractional coordinates):
1 Dy 0.2500 0.1497 0.6415  5 N 2.30-2.40
2 Dy 0.7500 0.8503 0.3585  5 N 2.30-2.40
3 Sm 0.2500 0.3396 0.3008  7 N 2.54-2.69
4 N 0.2500 0.7485 0.5066  3 Dy 2.30-2.39, 2 Sm 2.54
5 N 0.7500 0.5439 0.1430  3 Hf 2.17-2.41, 1 Dy 2.34
6 N 0.2500 0.9699 0.8621  3 Hf 2.17-2.33, 1 Dy 2.40
7 N 0.2500 0.4561 0.8570  3 Hf 2.17-2.41, 1 Dy 2.34
8 Sm 0.7500 0.6604 0.6992  7 N 2.54-2.69
9 Hf 0.2500 0.7650 0.0409  6 N 2.17-2.41
10 N 0.7500 0.2515 0.4934  3 Dy 2.30-2.39, 2 Sm 2.54
11 N 0.7500 0.0301 0.1379  3 Hf 2.17-2.33, 1 Dy 2.40
12 Hf 0.7500 0.2350 0.9591  6 N 2.17-2.41

Calculated values
- mass density (g cm⁻³) = 10.35
- E_form (uncorrected) (eV/atom) = -1.47



VASP calculation (GGA-PBE) on an optimized crystal structure of TbSc2Hg.

Unit cell a=3.4179 b=3.4179 c=8.5735 alpha=90.00 beta=90.00 gamma=90.00
Closest atoms and distances in Å follow each position.
Atoms (fractional coordinates):
1 Sc 0.0000 0.0000 0.2190  4 Hg 3.06, 4 Tb 3.41, 4 Sc 3.42
2 Tb 0.5000 0.5000 0.5000  8 Sc 3.41, 4 Tb 3.42
3 Hg 0.5000 0.5000 0.0000  8 Sc 3.06, 4 Hg 3.42
4 Sc 0.0000 0.0000 0.7810  4 Hg 3.06, 4 Tb 3.41, 4 Sc 3.42

Calculated values
- calculated formation energy (eV/atom) = -0.190
- mass density (g cm⁻³) = 7.45
- polymorph energy (0 for the lowest one) (meV per atom) = 0



VASP calculation (GGA-PBE) on an optimized crystal structure of Zr2AgW.

Unit cell a=2.9436 b=2.9436 c=9.4194 alpha=90.00 beta=90.00 gamma=107.09
Closest atoms and distances in Å follow each position.
Atoms (fractional coordinates):
1 W 0.5000 0.5000 0.7500  4 Zr 2.84, 4 W 2.94
2 Zr 0.0000 0.0000 0.5129  2 W 2.84, 4 Zr 2.94, 2 Ag 3.03
3 Zr 0.0000 0.0000 0.9871  2 W 2.84, 4 Zr 2.94, 2 Ag 3.03
4 Ag 0.5000 0.5000 0.2500  4 Ag 2.94, 4 Zr 3.03

Calculated values
- calculated formation energy (eV/atom) = 0.070
- mass density (g cm⁻³) = 10.09
- polymorph energy (0 for the lowest one) (meV per atom) = 68



VASP calculation (GGA-PBE) on an optimized crystal structure of Zn3Pd3Pt.

Unit cell a=5.6396 b=5.6396 c=7.0009 alpha=90.02 beta=90.02 gamma=91.95
Closest atoms and distances in Å follow each position.
Atoms (fractional coordinates):
1 Pt 0.7409 0.7409 0.9997  6 Zn 2.61-2.72, 6 Pd 2.76-2.88
2 Pd 0.2511 0.7489 0.0000  6 Zn 2.62-2.66, 4 Pt 2.76-2.88, 2 Pd 2.90
3 Zn 0.9998 0.9998 0.2353  4 Pd 2.53-2.62, 2 Pt 2.61-2.62, 4 Zn 2.82
4 Zn 0.0002 0.4999 0.2578  6 Pd 2.61-2.84, 2 Pt 2.71-2.72, 2 Zn 2.82
5 Pd 0.7883 0.2117 0.5000  6 Zn 2.53-2.61, 2 Pd 2.73
6 Zn 0.4999 0.0002 0.2578  6 Pd 2.61-2.84, 2 Pt 2.71-2.72, 2 Zn 2.82
7 Pd 0.7489 0.2511 0.0000  6 Zn 2.62-2.66, 4 Pt 2.76-2.88, 2 Pd 2.90
8 Zn 0.5001 0.9998 0.7422  6 Pd 2.61-2.84, 2 Pt 2.71-2.72, 2 Zn 2.82
9 Pt 0.2591 0.2591 0.0003  6 Zn 2.61-2.72, 6 Pd 2.76-2.88
10 Pd 0.4994 0.4994 0.7024  5 Pd 2.73-2.90, 2 Pt 2.81, 4 Zn 2.83-2.84
11 Pd 0.5006 0.5006 0.2976  5 Pd 2.73-2.90, 2 Pt 2.81, 4 Zn 2.83-2.84
12 Zn 0.9998 0.5001 0.7422  6 Pd 2.61-2.84, 2 Pt 2.71-2.72, 2 Zn 2.82
13 Pd 0.2117 0.7883 0.5000  6 Zn 2.53-2.61, 2 Pd 2.73
14 Zn 0.0002 0.0002 0.7647  4 Pd 2.53-2.62, 2 Pt 2.61-2.62, 4 Zn 2.82

Calculated values
- calculated formation energy (eV/atom) = -0.352
- mass density (g cm⁻³) = 10.60
- polymorph energy (0 for the lowest one) (meV per atom) = 24



VASP calculation (GGA-PBE) on an optimized crystal structure of MnCuMo2.

Unit cell a=9.0055 b=9.0055 c=9.0055 alpha=17.19 beta=17.19 gamma=17.19
Closest atoms and distances in Å follow each position.
Atoms (fractional coordinates):
1 Mn 0.7500 0.7500 0.7500  6 Mo 2.63, 6 Mn 2.69
2 Cu 0.2500 0.2500 0.2500  6 Cu 2.69, 6 Mo 2.79
3 Mo 0.4963 0.4963 0.4963  3 Mn 2.63, 6 Mo 2.69, 3 Cu 2.79
4 Mo 0.0037 0.0037 0.0037  3 Mn 2.63, 6 Mo 2.69, 3 Cu 2.79

Calculated values
- calculated formation energy (eV/atom) = 0.326
- mass density (g cm⁻³) = 9.26
- polymorph energy (0 for the lowest one) (meV per atom) = 138



VASP calculation (GGA-PBE) on an optimized crystal structure of Tb2Pm6Tm3Tl.

Unit cell a=6.1694 b=6.1694 c=11.7590 alpha=95.04 beta=95.04 gamma=120.11
Closest atoms and distances in Å follow each position.
Atoms (fractional coordinates):
1 Tm 0.8327 0.1673 0.5000  6 Pm 3.53-3.56, 6 Tm 3.55-3.58
2 Pm 0.5883 0.9166 0.7494  6 Pm 3.50-3.59, 3 Tm 3.53-3.56, 1 Tl 3.54, 2 Tb 3.57
3 Pm 0.2445 0.2445 0.7482  6 Pm 3.50-3.59, 3 Tm 3.53-3.55, 1 Tl 3.55, 2 Tb 3.57
4 Pm 0.7555 0.7555 0.2518  6 Pm 3.50-3.59, 3 Tm 3.53-3.55, 1 Tl 3.55, 2 Tb 3.57
5 Tl 0.0000 0.0000 0.0000  6 Pm 3.54-3.55, 6 Tb 3.56-3.57
6 Tm 0.5000 0.5000 0.5000  6 Pm 3.53-3.55, 6 Tm 3.56
7 Pm 0.0834 0.4117 0.2506  6 Pm 3.50-3.59, 3 Tm 3.53-3.56, 1 Tl 3.54, 2 Tb 3.57
8 Tb 0.6661 0.3339 0.0000  3 Tb 3.55-3.56, 3 Tl 3.56-3.57, 6 Pm 3.57
9 Tb 0.3339 0.6661 0.0000  3 Tb 3.55-3.56, 3 Tl 3.56-3.57, 6 Pm 3.57
10 Pm 0.9166 0.5883 0.7494  6 Pm 3.50-3.59, 3 Tm 3.53-3.56, 1 Tl 3.54, 2 Tb 3.57
11 Pm 0.4117 0.0834 0.2506  6 Pm 3.50-3.59, 3 Tm 3.53-3.56, 1 Tl 3.54, 2 Tb 3.57
12 Tm 0.1673 0.8327 0.5000  6 Pm 3.53-3.56, 6 Tm 3.55-3.58

Calculated values
- calculated formation energy (eV/atom) = -0.015
- mass density (g cm⁻³) = 8.27



VASP calculation (GGA-PBE) on an optimized crystal structure of Pr5GaAg2.

Unit cell a=7.7076 b=7.7076 c=9.6571 alpha=113.52 beta=113.52 gamma=90.00
Closest atoms and distances in Å follow each position.
Atoms (fractional coordinates):
1 Ga 0.2500 0.2500 0.5000  8 Pr 3.24
2 Pr 0.0000 0.0000 0.0000  4 Ag 3.03
3 Pr 0.5000 0.5000 0.0000  4 Ag 3.03
4 Ga 0.7500 0.7500 0.5000  8 Pr 3.24
5 Pr 0.5096 0.6784 0.6880  2 Ga 3.24, 3 Ag 3.36-3.37, 2 Pr 3.52-3.61
6 Ag 0.6275 0.1275 0.0000  1 Ag 2.78, 2 Pr 3.03
7 Ag 0.1275 0.3725 0.0000  1 Ag 2.78, 2 Pr 3.03
8 Pr 0.6784 0.1784 0.6880  2 Ga 3.24, 3 Ag 3.36-3.37, 2 Pr 3.52-3.61
9 Pr 0.9904 0.4904 0.3120  2 Ga 3.24, 3 Ag 3.36-3.37, 2 Pr 3.52-3.61
10 Pr 0.0096 0.5096 0.6880  2 Ga 3.24, 3 Ag 3.36-3.37, 2 Pr 3.52-3.61
11 Pr 0.8216 0.9904 0.3120  2 Ga 3.24, 3 Ag 3.36-3.37, 2 Pr 3.52-3.61
12 Pr 0.3216 0.8216 0.3120  2 Ga 3.24, 3 Ag 3.36-3.37, 2 Pr 3.52-3.61
13 Ag 0.3725 0.8725 0.0000  1 Ag 2.78, 2 Pr 3.03
14 Pr 0.4904 0.3216 0.3120  2 Ga 3.24, 3 Ag 3.36-3.37, 2 Pr 3.52-3.61
15 Ag 0.8725 0.6275 0.0000  1 Ag 2.78, 2 Pr 3.03
16 Pr 0.1784 0.0096 0.6880  2 Ga 3.24, 3 Ag 3.36-3.37, 2 Pr 3.52-3.61

Calculated values
- calculated formation energy (eV/atom) = -0.226
- mass density (g cm⁻³) = 6.94



VASP calculation (GGA-PBE) on an optimized crystal structure of Tb4PrNd5.

Unit cell a=3.6152 b=10.6390 c=9.3518 alpha=83.97 beta=101.14 gamma=90.00
Closest atoms and distances in Å follow each position.
Atoms (fractional coordinates):
1 Nd 0.8102 0.5972 0.6204  1 Tb 3.30, 4 Nd 3.62-3.66
2 Tb 0.6835 0.0899 0.3670  6 Tb 3.37-3.62, 1 Pr 3.60, 1 Nd 3.69
3 Tb 0.0461 0.2406 0.0922  4 Nd 3.30-3.46, 2 Pr 3.32, 4 Tb 3.37-3.62
4 Nd 0.8580 0.2334 0.7159  2 Tb 3.46-3.69, 5 Nd 3.62-3.88, 2 Pr 3.85
5 Nd 0.1420 0.7666 0.2841  2 Tb 3.46-3.69, 5 Nd 3.62-3.88, 2 Pr 3.85
6 Tb 0.9539 0.7594 0.9078  4 Nd 3.30-3.46, 2 Pr 3.32, 4 Tb 3.37-3.62
7 Nd 0.5000 0.5000 0.0000  4 Tb 3.33, 2 Nd 3.62
8 Pr 0.5000 0.0000 0.0000  6 Tb 3.32-3.60, 2 Pr 3.62
9 Tb 0.3165 0.9101 0.6330  6 Tb 3.37-3.62, 1 Pr 3.60, 1 Nd 3.69
10 Nd 0.1898 0.4028 0.3796  1 Tb 3.30, 4 Nd 3.62-3.66

Calculated values
- calculated formation energy (eV/atom) = 0.152
- mass density (g cm⁻³) = 7.09
- polymorph energy (0 for the lowest one) (meV per atom) = 138



VASP calculation (GGA-PBE) on an optimized crystal structure of BaNpPO6.

Unit cell a=5.3084 b=5.3085 c=5.6857 alpha=90.00 beta=90.00 gamma=60.00
Closest atoms and distances in Å follow each position.
Atoms (fractional coordinates):
1 O 0.5927 0.3510 0.6774  1 P 1.75
2 O 0.3510 0.5927 0.3226  1 P 1.75
3 Ba 0.0000 0.0000 0.0000  6 O 2.74
4 O 0.3509 0.0563 0.6774  1 P 1.75
5 O 0.5927 0.0563 0.3226  1 P 1.75
6 O 0.0563 0.5927 0.6774  1 P 1.75
7 P 0.3333 0.3333 0.5000  6 O 1.75
8 Np 0.6666 0.6667 0.5000  6 O 2.15
9 O 0.0563 0.3510 0.3226  1 P 1.75

Calculated values
- mass density (g cm⁻³) = 6.00
- E_form (uncorrected) (eV/atom) = -2.48



VASP calculation (GGA-PBE) on an optimized crystal structure of Pm2Tm2Sc.

Unit cell a=5.5024 b=6.5810 c=10.3138 alpha=100.40 beta=74.53 gamma=65.29
Closest atoms and distances in Å follow each position.
Atoms (fractional coordinates):
1 Pm 0.0486 0.3156 0.5873  3 Pm 3.23-3.39, 1 Sc 3.24
2 Sc 0.3230 0.2344 0.1196  1 Sc 3.01, 3 Tm 3.18-3.33, 2 Pm 3.20-3.24
3 Pm 0.9514 0.6844 0.4127  3 Pm 3.23-3.39, 1 Sc 3.24
4 Tm 0.8785 0.2746 0.9683  3 Sc 3.18-3.33, 3 Pm 3.46-3.53, 1 Tm 3.54
5 Tm 0.2944 0.7469 0.6642  2 Sc 3.47, 3 Tm 3.57-3.70, 8 Pm 3.65-3.73
6 Pm 0.4642 0.8171 0.2545  1 Sc 3.20, 2 Pm 3.39, 3 Tm 3.46-3.53
7 Pm 0.5358 0.1829 0.7455  1 Sc 3.20, 2 Pm 3.39, 3 Tm 3.46-3.53
8 Sc 0.6770 0.7656 0.8804  1 Sc 3.01, 3 Tm 3.18-3.33, 2 Pm 3.20-3.24
9 Tm 0.7056 0.2531 0.3358  2 Sc 3.47, 3 Tm 3.57-3.70, 8 Pm 3.65-3.73
10 Tm 0.1215 0.7254 0.0317  3 Sc 3.18-3.33, 3 Pm 3.46-3.53, 1 Tm 3.54

Calculated values
- calculated formation energy (eV/atom) = 0.084
- mass density (g cm⁻³) = 7.25
- polymorph energy (0 for the lowest one) (meV per atom) = 52



VASP calculation (GGA-PBE) on an optimized crystal structure of AgSbTe2As.

Unit cell a=5.5726 b=5.5726 c=5.2168 alpha=90.00 beta=90.00 gamma=90.00
Closest atoms and distances in Å follow each position.
Atoms (fractional coordinates):
1 Sb 0.0000 0.0000 0.5000  2 As 2.61
2 Te 0.5000 0.0000 0.0000  2 As 2.79
3 As 0.0000 0.0000 0.0000  2 Sb 2.61, 4 Te 2.79
4 Te 0.0000 0.5000 0.0000  2 As 2.79
5 Ag 0.5000 0.5000 0.5000  8 Te 3.82, 4 Sb 3.94

Calculated values
- mass density (g cm⁻³) = 5.74
- polymorph energy (0 for the lowest one) (meV per atom) = 0
- E_form (uncorrected) (eV/atom) = 0.65



Energy, respectively: -4.691; -8.842; -4.589; -8.155; -3.987; -8.406; -4.477; -4.304; -4.562; -8.043; -4.871; -2.928 eV per atom.
Fermi-level density of states, respectively: 7.69; 2.16; 4.73; 3.03; 2.65; 4.29; 12.75; 10.55; 15.91; 5.21; 8.80; 3.87 states/eV/f.u..
Magnetization, respectively: 0.00; 0.00; 0.00; 0.00; 0.00; 0.00; 0.00; 0.00; 0.00; 2.00; 0.00; 0.00 μB/cell.